An optimized crystal structure of BaLi2Zn2. Source: Alexandria via LeMat-Bulk, functional GGA-PBEsol.

Results
magnetic moment = 0.00 μB per formula unit
formation energy = -6 kJ per mole of atoms
energy = -9.54 eV/cell
symmetry = No. 139

Unit cell a=7.1537 b=7.1537 c=7.1537 alpha=145.14 beta=145.14 gamma=50.12
Sites, in units of the cell vectors:
Ba (0.0000, 0.0000, 0.0000)
Li (0.2500, 0.7500, 0.5000)
Li (0.7500, 0.2500, 0.5000)
Zn (0.3892, 0.3892, 0.0000)
Zn (0.6108, 0.6108, 0.0000)